Entry 1:
The following is a DFT calculation (GGA-PBE) of a relaxed structure of NaPuCoCl6.

Cell lengths 6.6541, 6.6541, 12.4899 Å; angles 90.00, 90.00, 120.00 degrees
Last column: nearest neighbours and their distance in Å.
Space group P-31c (No. 163)
Unique sites:
Na  0.0000  0.0000  0.0000 [2 per cell]  6 Cl 2.90
Pu  0.3333  0.6667  0.2500 [2 per cell]  6 Cl 2.70
Co  0.3333  0.6667  0.7500 [2 per cell]  6 Cl 2.48
Cl  0.0263  0.3650  0.6359 [12 per cell]  1 Co 2.48, 1 Pu 2.70

Values from the calculation:
Magnetization = 7.57 μB per formula unit
Fermi-level density of states = 1.174 states/eV/atom
DFT total energy = -92.95 eV per cell
Formation energy from raw total energies = -1404.2 meV/atom

=====

Entry 2:
The following is a DFT calculation (GGA-PBE) of a relaxed structure of Rb3Na3CoCl8.

Cell lengths 8.3298, 8.3298, 22.3268 Å; angles 90.00, 90.00, 120.00 degrees
Last column: nearest neighbours and their distance in Å.
Space group R-3m (No. 166, hexagonal axes)
Unique sites:
Rb  0.0000  0.5000  0.0000 [9 per cell]  6 Cl 3.25-3.26
Na  0.0000  0.5000  0.5000 [9 per cell]  6 Cl 2.86-2.92
Co  0.0000  0.0000  0.5000 [3 per cell]  6 Cl 2.52
Cl  0.0000  0.0000  0.2357 [6 per cell]  3 Na 2.86
Cl  0.0416  0.5208  0.2285 [18 per cell]  1 Co 2.52

Values from the calculation:
Magnetization = 3.00 μB per formula unit
Fermi-level density of states = 0.038 states/eV/atom
DFT total energy = -156.97 eV per cell
Formation energy from raw total energies = -1572.2 meV/atom

=====

Entry 3:
The following is a DFT calculation (GGA-PBE) of a relaxed structure of RbNaCo2Cl6.

Cell lengths 13.8960, 13.7547, 6.8787 Å; angles 90.00, 108.43, 90.00 degrees
Last column: nearest neighbours and their distance in Å.
Space group C2/c (No. 15)
Unique sites:
Rb  0.0000  0.1048  0.2500 [4 per cell]  6 Cl 3.26-3.37
Na  0.0000  0.2829  0.7500 [4 per cell]  4 Cl 2.71-3.03
Co  0.2076  0.4242  0.1244 [8 per cell]  4 Cl 2.23-2.31
Cl  0.1115  0.2986  0.1507 [8 per cell]  1 Co 2.23
Cl  0.1253  0.1039  0.7423 [8 per cell]  1 Co 2.24
Cl  0.1652  0.4409  0.7726 [8 per cell]  2 Co 2.28-2.31

Values from the calculation:
Magnetization = 6.00 μB per formula unit
DFT total energy = -153.42 eV per cell
Formation energy from raw total energies = -1077.6 meV/atom

=====

Entry 4:
The following is a DFT calculation (GGA-PBE) of a relaxed structure of NaCo2ReCl.

Cell lengths 4.2341, 4.2341, 4.3926 Å; angles 90.00, 90.00, 90.00 degrees
Last column: nearest neighbours and their distance in Å.
Space group P4/mmm (No. 123)
Unique sites:
Na  0.0000  0.0000  0.0000 [1 per cell]  4 Re 2.99, 8 Co 3.05
Co  0.0000  0.5000  0.5000 [2 per cell]  2 Cl 2.12
Re  0.5000  0.5000  0.0000 [1 per cell]  2 Cl 2.20
Cl  0.5000  0.5000  0.5000 [1 per cell]  4 Co 2.12, 2 Re 2.20

Values from the calculation:
Magnetization = 2.97 μB per formula unit
Fermi-level density of states = 1.178 states/eV/atom
DFT total energy = -23.63 eV per cell
Formation energy from raw total energies = 1238.2 meV/atom

=====

Entry 5:
The following is a DFT calculation (GGA-PBE) of a relaxed structure of NaCoRhCl6.

Cell lengths 6.1408, 6.1408, 6.1864 Å; angles 90.00, 90.00, 120.00 degrees
Last column: nearest neighbours and their distance in Å.
Space group P312 (No. 149)
Unique sites:
Na  0.0000  0.0000  0.0000 [1 per cell]  6 Cl 2.86
Co  0.3333  0.6667  0.5000 [1 per cell]  6 Cl 2.34
Rh  0.6667  0.3333  0.5000 [1 per cell]  6 Cl 2.37
Cl  0.0034  0.3648  0.7115 [6 per cell]  1 Co 2.34, 1 Rh 2.37

Values from the calculation:
Magnetization = 0.85 μB per formula unit
Fermi-level density of states = 0.727 states/eV/atom
DFT total energy = -33.97 eV per cell
Formation energy from raw total energies = -790.1 meV/atom

=====

Entry 6:
The following is a DFT calculation (GGA-PBE) of a relaxed structure of NaCoSCl2.

Cell lengths 4.9207, 4.9207, 5.1487 Å; angles 90.00, 90.00, 90.00 degrees
Last column: nearest neighbours and their distance in Å.
Space group P4/mmm (No. 123)
Unique sites:
Na  0.0000  0.0000  0.0000 [1 per cell]  4 Cl 2.46, 2 S 2.57
Co  0.5000  0.5000  0.5000 [1 per cell]  4 S 3.48, 8 Cl 3.56
S  0.0000  0.0000  0.5000 [1 per cell]  2 Na 2.57
Cl  0.0000  0.5000  0.0000 [2 per cell]  2 Na 2.46

Values from the calculation:
Magnetization = 2.94 μB per formula unit
Fermi-level density of states = 1.491 states/eV/atom
DFT total energy = -13.61 eV per cell
Formation energy from raw total energies = 526.6 meV/atom